Entry 1:
# PBE MnCu2AgS4, optimized geometry
data_MnCu2AgS4
_chemical_formula_sum 'Mn1 Cu2 Ag1 S4'
_symmetry_space_group_name_H-M 'P 1'
_symmetry_Int_Tables_number 1
_symmetry_space_group_name_Hall 'P 1'
_cell_length_a 6.3914
_cell_length_b 6.3914
_cell_length_c 6.3914
_cell_angle_alpha 129.38
_cell_angle_beta 129.38
_cell_angle_gamma 74.41
loop_
_atom_site_label
_atom_site_fract_x
_atom_site_fract_y
_atom_site_fract_z
Mn1 0.0000 0.0000 0.0000
Cu1 0.2500 0.7500 0.5000
Cu2 0.7500 0.2500 0.5000
Ag1 0.5000 0.5000 0.0000
S1 0.0909 0.0909 0.4438
S2 0.3529 0.9091 0.0000
S3 0.6471 0.6471 0.5562
S4 0.9091 0.3529 0.0000
# - Spin magnetization: 1.97 μB/f.u.
# - Final energy: -0.1793 hartree per atom
# - ΔE_f (raw): -289.0 meV/atom

Entry 2:
# PBE ScMnCu2Ag, optimized geometry
data_ScMnCu2Ag
_chemical_formula_sum 'Sc1 Mn1 Cu2 Ag1'
_symmetry_space_group_name_H-M 'P 1'
_symmetry_Int_Tables_number 1
_symmetry_space_group_name_Hall 'P 1'
_cell_length_a 4.7505
_cell_length_b 4.7505
_cell_length_c 4.9475
_cell_angle_alpha 90.00
_cell_angle_beta 90.00
_cell_angle_gamma 90.00
loop_
_atom_site_label
_atom_site_fract_x
_atom_site_fract_y
_atom_site_fract_z
Sc1 0.0000 0.0000 0.0000
Mn1 0.5000 0.5000 0.0000
Cu1 0.0000 0.5000 0.5000
Cu2 0.5000 0.0000 0.5000
Ag1 0.0000 0.0000 0.5000
# - Spin magnetization: 4.37 μB/f.u.
# - E_form: 0.938 eV per atom
# - Final energy: -0.1606 hartree per atom

Entry 3:
# PBE Mn2CuAgTe, optimized geometry
data_Mn2CuAgTe
_chemical_formula_sum 'Mn2 Cu1 Ag1 Te1'
_symmetry_space_group_name_H-M 'P 1'
_symmetry_Int_Tables_number 1
_symmetry_space_group_name_Hall 'P 1'
_cell_length_a 4.9286
_cell_length_b 4.9286
_cell_length_c 4.7547
_cell_angle_alpha 90.00
_cell_angle_beta 90.00
_cell_angle_gamma 90.00
loop_
_atom_site_label
_atom_site_fract_x
_atom_site_fract_y
_atom_site_fract_z
Mn1 0.0000 0.5000 0.0000
Mn2 0.5000 0.0000 0.0000
Cu1 0.0000 0.0000 0.5000
Ag1 0.5000 0.5000 0.5000
Te1 0.0000 0.0000 0.0000
# - Spin magnetization: 6.92 μB/f.u.
# - Final energy: -0.1753 hartree per atom
# - ΔE_f (raw): 916.3 meV/atom

Entry 4:
# PBE CuAg2Mo, optimized geometry
data_CuAg2Mo
_chemical_formula_sum 'Cu1 Ag2 Mo1'
_symmetry_space_group_name_H-M 'P 1'
_symmetry_Int_Tables_number 1
_symmetry_space_group_name_Hall 'P 1'
_cell_length_a 9.4310
_cell_length_b 9.4310
_cell_length_c 9.4310
_cell_angle_alpha 17.17
_cell_angle_beta 17.17
_cell_angle_gamma 17.17
loop_
_atom_site_label
_atom_site_fract_x
_atom_site_fract_y
_atom_site_fract_z
Cu1 0.0000 0.0000 0.0000
Ag1 0.2541 0.2541 0.2541
Ag2 0.7459 0.7459 0.7459
Mo1 0.5000 0.5000 0.5000
# - Spin magnetization: 0.02 μB/f.u.
# - E_form: 0.391 eV per atom
# - Final energy: -0.1752 hartree per atom

Entry 5:
# PBE CuAg2Mo, optimized geometry
data_CuAg2Mo
_chemical_formula_sum 'Cu1 Ag2 Mo1'
_symmetry_space_group_name_H-M 'P 1'
_symmetry_Int_Tables_number 1
_symmetry_space_group_name_Hall 'P 1'
_cell_length_a 9.5376
_cell_length_b 9.5376
_cell_length_c 9.5376
_cell_angle_alpha 16.92
_cell_angle_beta 16.92
_cell_angle_gamma 16.92
loop_
_atom_site_label
_atom_site_fract_x
_atom_site_fract_y
_atom_site_fract_z
Cu1 0.0000 0.0000 0.0000
Ag1 0.5026 0.5026 0.5026
Ag2 0.7466 0.7466 0.7466
Mo1 0.2570 0.2570 0.2570
# - Spin magnetization: 0.00 μB/f.u.
# - E_form: 0.327 eV per atom
# - Final energy: -0.1775 hartree per atom

Entry 6:
# PBE CuAg2Mo, optimized geometry
data_CuAg2Mo
_chemical_formula_sum 'Cu2 Ag4 Mo2'
_symmetry_space_group_name_H-M 'P 1'
_symmetry_Int_Tables_number 1
_symmetry_space_group_name_Hall 'P 1'
_cell_length_a 5.7664
_cell_length_b 5.7664
_cell_length_c 5.7664
_cell_angle_alpha 102.18
_cell_angle_beta 102.18
_cell_angle_gamma 125.32
loop_
_atom_site_label
_atom_site_fract_x
_atom_site_fract_y
_atom_site_fract_z
Cu1 0.0000 0.0000 0.0000
Cu2 0.7500 0.2500 0.5000
Ag1 0.1006 0.6250 0.9756
Ag2 0.3750 0.3506 0.4756
Ag3 0.6494 0.1250 0.0244
Ag4 0.8750 0.8994 0.5244
Mo1 0.2500 0.7500 0.5000
Mo2 0.5000 0.5000 0.0000
# - Spin magnetization: 0.00 μB/f.u.
# - E_form: 1.010 eV per atom
# - Final energy: -0.1524 hartree per atom

Entry 7:
# PBE CuAgMo, optimized geometry
data_CuAgMo
_chemical_formula_sum 'Cu1 Ag1 Mo1'
_symmetry_space_group_name_H-M 'P 1'
_symmetry_Int_Tables_number 1
_symmetry_space_group_name_Hall 'P 1'
_cell_length_a 4.1557
_cell_length_b 4.1557
_cell_length_c 4.1557
_cell_angle_alpha 60.00
_cell_angle_beta 60.00
_cell_angle_gamma 60.00
loop_
_atom_site_label
_atom_site_fract_x
_atom_site_fract_y
_atom_site_fract_z
Cu1 0.0000 0.0000 0.0000
Ag1 0.7500 0.7500 0.7500
Mo1 0.2500 0.2500 0.2500
# - Spin magnetization: 0.00 μB/f.u.
# - E_form: 0.918 eV per atom
# - Final energy: -0.1841 hartree per atom

Entry 8:
# PBE CuAgMo, optimized geometry
data_CuAgMo
_chemical_formula_sum 'Cu1 Ag1 Mo1'
_symmetry_space_group_name_H-M 'P 1'
_symmetry_Int_Tables_number 1
_symmetry_space_group_name_Hall 'P 1'
_cell_length_a 4.9810
_cell_length_b 4.9810
_cell_length_c 4.9810
_cell_angle_alpha 149.20
_cell_angle_beta 133.06
_cell_angle_gamma 57.20
loop_
_atom_site_label
_atom_site_fract_x
_atom_site_fract_y
_atom_site_fract_z
Cu1 0.0000 0.0000 0.0000
Ag1 0.3335 0.3335 0.0000
Mo1 0.6524 0.6524 0.0000
# - Spin magnetization: 0.00 μB/f.u.
# - E_form: 0.552 eV per atom
# - Final energy: -0.1975 hartree per atom

Entry 9:
# PBE CuAg2Mo, optimized geometry
data_CuAg2Mo
_chemical_formula_sum 'Cu1 Ag2 Mo1'
_symmetry_space_group_name_H-M 'P 1'
_symmetry_Int_Tables_number 1
_symmetry_space_group_name_Hall 'P 1'
_cell_length_a 2.6902
_cell_length_b 3.9409
_cell_length_c 6.0733
_cell_angle_alpha 90.00
_cell_angle_beta 90.00
_cell_angle_gamma 90.00
loop_
_atom_site_label
_atom_site_fract_x
_atom_site_fract_y
_atom_site_fract_z
Cu1 0.0000 0.0000 0.0000
Ag1 0.0000 0.0000 0.4691
Ag2 0.5000 0.5000 0.7387
Mo1 0.5000 0.5000 0.2043
# - Spin magnetization: 0.00 μB/f.u.
# - E_form: 0.410 eV per atom
# - Final energy: -0.1745 hartree per atom

Entry 10:
# PBE CuAg2Mo, optimized geometry
data_CuAg2Mo
_chemical_formula_sum 'Cu1 Ag2 Mo1'
_symmetry_space_group_name_H-M 'P 1'
_symmetry_Int_Tables_number 1
_symmetry_space_group_name_Hall 'P 1'
_cell_length_a 4.9146
_cell_length_b 4.9146
_cell_length_c 4.9146
_cell_angle_alpha 131.73
_cell_angle_beta 131.73
_cell_angle_gamma 70.65
loop_
_atom_site_label
_atom_site_fract_x
_atom_site_fract_y
_atom_site_fract_z
Cu1 0.0000 0.0000 0.0000
Ag1 0.2500 0.7500 0.5000
Ag2 0.7500 0.2500 0.5000
Mo1 0.5000 0.5000 0.0000
# - Spin magnetization: 1.82 μB/f.u.
# - E_form: 0.653 eV per atom
# - Final energy: -0.1655 hartree per atom

Entry 11:
# PBE CuAg2Mo, optimized geometry
data_CuAg2Mo
_chemical_formula_sum 'Cu1 Ag2 Mo1'
_symmetry_space_group_name_H-M 'P 1'
_symmetry_Int_Tables_number 1
_symmetry_space_group_name_Hall 'P 1'
_cell_length_a 4.4958
_cell_length_b 4.4958
_cell_length_c 4.4958
_cell_angle_alpha 120.39
_cell_angle_beta 120.39
_cell_angle_gamma 89.32
loop_
_atom_site_label
_atom_site_fract_x
_atom_site_fract_y
_atom_site_fract_z
Cu1 0.0000 0.0000 0.0000
Ag1 0.5000 0.5000 0.0000
Ag2 0.7500 0.2500 0.5000
Mo1 0.2500 0.7500 0.5000
# - Spin magnetization: 0.62 μB/f.u.
# - E_form: 0.630 eV per atom
# - Final energy: -0.1664 hartree per atom

Entry 12:
# PBE CuAgMo3, optimized geometry
data_CuAgMo3
_chemical_formula_sum 'Cu1 Ag1 Mo3'
_symmetry_space_group_name_H-M 'P 1'
_symmetry_Int_Tables_number 1
_symmetry_space_group_name_Hall 'P 1'
_cell_length_a 4.7827
_cell_length_b 4.7827
_cell_length_c 4.7827
_cell_angle_alpha 90.00
_cell_angle_beta 90.00
_cell_angle_gamma 90.00
loop_
_atom_site_label
_atom_site_fract_x
_atom_site_fract_y
_atom_site_fract_z
Cu1 0.0000 0.0000 0.0000
Ag1 0.5000 0.5000 0.5000
Mo1 0.0000 0.5000 0.5000
Mo2 0.5000 0.0000 0.5000
Mo3 0.5000 0.5000 0.0000
# - Spin magnetization: 0.00 μB/f.u.
# - E_form: 2.640 eV per atom
# - Final energy: -0.1928 hartree per atom

Entry 13:
# PBE Cu3AgMo, optimized geometry
data_Cu3AgMo
_chemical_formula_sum 'Cu3 Ag1 Mo1'
_symmetry_space_group_name_H-M 'P 1'
_symmetry_Int_Tables_number 1
_symmetry_space_group_name_Hall 'P 1'
_cell_length_a 4.6734
_cell_length_b 4.6734
_cell_length_c 4.6734
_cell_angle_alpha 90.00
_cell_angle_beta 90.00
_cell_angle_gamma 90.00
loop_
_atom_site_label
_atom_site_fract_x
_atom_site_fract_y
_atom_site_fract_z
Cu1 0.0000 0.0000 0.5000
Cu2 0.0000 0.5000 0.0000
Cu3 0.5000 0.0000 0.0000
Ag1 0.5000 0.5000 0.5000
Mo1 0.0000 0.0000 0.0000
# - Spin magnetization: 0.00 μB/f.u.
# - E_form: 1.465 eV per atom
# - Final energy: -0.1370 hartree per atom

Entry 14:
# PBE CuAg2Mo, optimized geometry
data_CuAg2Mo
_chemical_formula_sum 'Cu1 Ag2 Mo1'
_symmetry_space_group_name_H-M 'P 1'
_symmetry_Int_Tables_number 1
_symmetry_space_group_name_Hall 'P 1'
_cell_length_a 4.4997
_cell_length_b 4.4997
_cell_length_c 4.4997
_cell_angle_alpha 60.00
_cell_angle_beta 60.00
_cell_angle_gamma 60.00
loop_
_atom_site_label
_atom_site_fract_x
_atom_site_fract_y
_atom_site_fract_z
Cu1 0.0000 0.0000 0.0000
Ag1 0.2500 0.2500 0.2500
Ag2 0.7500 0.7500 0.7500
Mo1 0.5000 0.5000 0.5000
# - Spin magnetization: 0.64 μB/f.u.
# - E_form: 0.696 eV per atom
# - Final energy: -0.1640 hartree per atom

Entry 15:
# PBE CuAgMo4, optimized geometry
data_CuAgMo4
_chemical_formula_sum 'Cu1 Ag1 Mo4'
_symmetry_space_group_name_H-M 'P 1'
_symmetry_Int_Tables_number 1
_symmetry_space_group_name_Hall 'P 1'
_cell_length_a 5.2176
_cell_length_b 5.2176
_cell_length_c 5.2176
_cell_angle_alpha 60.00
_cell_angle_beta 60.00
_cell_angle_gamma 60.00
loop_
_atom_site_label
_atom_site_fract_x
_atom_site_fract_y
_atom_site_fract_z
Cu1 0.0000 0.0000 0.0000
Ag1 0.2500 0.2500 0.2500
Mo1 0.1240 0.6253 0.6253
Mo2 0.6253 0.1240 0.6253
Mo3 0.6253 0.6253 0.1240
Mo4 0.6253 0.6253 0.6253
# - Spin magnetization: 0.00 μB/f.u.
# - E_form: 0.617 eV per atom
# - Final energy: -0.2852 hartree per atom